Record 1
Density functional theory data (PBE) for an optimized crystal structure of BeNb2Bi.

Cell lengths 4.678, 4.678, 4.678 Å; angles 60.00, 60.00, 60.00 degrees
Fractional positions:
Be 0.000 0.000 0.000
Bi 0.500 0.500 0.500
Nb 0.750 0.750 0.750
Nb 0.250 0.250 0.250

The energy above the most stable polymorph in this dataset comes out at 0 meV per atom. Its energy of formation from the pure elements is 534 meV/atom.

***

Record 2
Density functional theory data (PBE) for an optimized crystal structure of BeNbBi3.

Cell lengths 5.079, 5.079, 5.079 Å; angles 90.00, 90.00, 90.00 degrees
Fractional positions:
Nb 0.500 0.500 0.500
Bi 0.000 0.500 0.000
Be 0.000 0.000 0.000
Bi 0.000 0.000 0.500
Bi 0.500 0.000 0.000

The energy above the most stable polymorph in this dataset comes out at 0 meV per atom. Its energy of formation from the pure elements is 911 meV/atom.

***

In the order shown, the computed ρ values come out to 9.26; 9.24 g cm⁻³.